Computed, not measured: crystalline NiTe2Pb at its relaxed geometry at the GGA-PBE level of DFT.

It has space group P4/mmm (No. 123), with a = 5.268 Å, b = 5.268 Å, c = 3.670 Å, α = 90.00°, β = 90.00° and γ = 90.00°. The asymmetric unit holds Ni at (0.000, 0.000, 0.000), Te at (0.000, 0.500, 0.500) and Pb at (0.500, 0.500, 0.000).

Its uncorrected formation energy is 0.36 eV/atom. Its total energy is -3.58 eV/atom. As for the crystal system: tetragonal. For the size of the total moment, the calculation gives 0.0 μB per formula unit.